Version w
Computed, not measured: a relaxed SrSn2Br6 crystal at the PBE-GGA level of DFT.

Output
**Space-group type**: P2_1/c
**V**: 695.2 Å³/cell

Cell lengths 7.001, 7.809, 12.715 Å; angles 90.03, 90.00, 90.00 degrees
Fractional coordinates of all 18 atoms:
Br 0.258 0.684 0.167
Br 0.223 0.659 0.500
Br 0.277 0.159 0.000
Br 0.244 0.184 0.334
Br 0.756 0.816 0.666
Br 0.742 0.316 0.833
Br 0.777 0.341 0.500
Br 0.723 0.841 0.000
Br 0.256 0.684 0.834
Br 0.242 0.184 0.667
Br 0.758 0.816 0.333
Br 0.744 0.316 0.166
Sn 0.501 0.000 0.176
Sn 0.999 0.500 0.676
Sn 0.001 0.500 0.324
Sn 0.499 0.000 0.824
Sr 0.500 0.500 0.000
Sr 0.000 0.000 0.500


Version x
Computed, not measured: a relaxed SrSn2Br6 crystal at the PBE-GGA level of DFT.

Output
**Space-group type**: C2/m
**V**: 351.1 Å³/cell

Cell lengths 5.729, 7.813, 9.080 Å; angles 72.68, 71.61, 68.49 degrees
Fractional coordinates of all 9 atoms:
Br 0.365 0.735 0.534
Br 0.243 0.344 0.170
Br 0.032 0.151 0.786
Br 0.968 0.849 0.214
Br 0.757 0.656 0.830
Br 0.635 0.265 0.466
Sn 0.195 0.760 0.851
Sn 0.805 0.240 0.149
Sr 0.000 0.500 0.500


Short version: version w, version x, most stable first.


Version w
Computed, not measured: a relaxed TaSn3Br crystal at the PBE-GGA level of DFT.

Output
**Space-group type**: Pm-3m
**V**: 151.9 Å³/cell

Cell lengths 5.336, 5.336, 5.336 Å; angles 90.00, 90.00, 90.00 degrees
Fractional coordinates of all 5 atoms:
Sn 0.000 0.000 0.500
Sn 0.000 0.500 0.000
Sn 0.500 0.000 0.000
Br 0.000 0.000 0.000
Ta 0.500 0.500 0.500


Version x
Computed, not measured: a relaxed TaSn3Br crystal at the PBE-GGA level of DFT.

Output
**Space-group type**: Pm-3m
**V**: 160.6 Å³/cell

Cell lengths 5.436, 5.436, 5.436 Å; angles 90.00, 90.00, 90.00 degrees
Fractional coordinates of all 5 atoms:
Sn 0.500 0.000 0.000
Sn 0.000 0.000 0.500
Sn 0.000 0.500 0.000
Br 0.500 0.500 0.500
Ta 0.000 0.000 0.000


Short version: version x, version w, most stable first.


Version w
Computed, not measured: a relaxed TaSnBr2 crystal at the PBE-GGA level of DFT.

Output
**Space-group type**: I-42d
**V**: 234.2 Å³/cell

Cell lengths 9.116, 9.116, 7.035 Å; angles 49.62, 49.62, 90.00 degrees
Fractional coordinates of all 8 atoms:
Ta 0.750 0.250 0.500
Ta 0.000 0.000 0.000
Br 0.875 0.002 0.750
Br 0.752 0.125 0.250
Br 0.998 0.625 0.250
Br 0.375 0.248 0.750
Sn 0.250 0.750 0.500
Sn 0.500 0.500 0.000


Version x
Computed, not measured: a relaxed TaSnBr2 crystal at the PBE-GGA level of DFT.

Output
**Space-group type**: Fm-3m
**V**: 86.4 Å³/cell

Cell lengths 4.962, 4.962, 4.962 Å; angles 60.00, 60.00, 60.00 degrees
Fractional coordinates of all 4 atoms:
Br 0.250 0.250 0.250
Br 0.750 0.750 0.750
Sn 0.000 0.000 0.000
Ta 0.500 0.500 0.500


Short version: version w, version x, most stable first.